No. 1
First-principles (PBE) data for crystalline TbHf2Sc4 at its relaxed geometry, as listed in the Alexandria database.

Lattice parameters (Å, degrees): 18.5214 18.5214 18.5214 10.18 10.18 10.18
Closest atoms and distances in Å follow each position.
Atoms (fractional coordinates):
Tb 0.0000 0.0000 0.0000  6 Tb 3.29, 6 Sc 3.36
Hf 0.1885 0.1885 0.1885  9 Hf 3.07-3.29, 3 Sc 3.20
Hf 0.8115 0.8115 0.8115  9 Hf 3.07-3.29, 3 Sc 3.20
Sc 0.0982 0.0982 0.0982  3 Hf 3.20, 9 Sc 3.26-3.29
Sc 0.3836 0.3836 0.3836  9 Sc 3.26-3.29, 3 Tb 3.36
Sc 0.6164 0.6164 0.6164  9 Sc 3.26-3.29, 3 Tb 3.36
Sc 0.9018 0.9018 0.9018  3 Hf 3.20, 9 Sc 3.26-3.29

Formation energy: 43 meV per atom
Final energy: -7.080 eV per atom
Space-group type: No. 166

***

No. 2
First-principles (PBE) data for crystalline Tb2HfSc4 at its relaxed geometry, as listed in the Alexandria database.

Lattice parameters (Å, degrees): 18.7044 18.7044 18.7044 10.31 10.31 10.31
Closest atoms and distances in Å follow each position.
Atoms (fractional coordinates):
Tb 0.0000 0.0000 0.0000  6 Tb 3.36, 6 Sc 3.38
Tb 0.0986 0.0986 0.0986  6 Sc 3.35-3.44, 6 Tb 3.36
Hf 0.1933 0.1933 0.1933  6 Sc 3.12-3.14, 6 Hf 3.36
Sc 0.2838 0.2838 0.2838  9 Sc 3.23-3.36, 3 Tb 3.38
Sc 0.3830 0.3830 0.3830  6 Tb 3.35-3.38, 6 Sc 3.36
Sc 0.8161 0.8161 0.8161  3 Hf 3.12, 6 Sc 3.36, 3 Tb 3.44
Sc 0.9042 0.9042 0.9042  3 Hf 3.14, 9 Sc 3.23-3.36

Formation energy: 44 meV per atom
Final energy: -6.319 eV per atom
Space-group type: No. 160

***

No. 3
First-principles (PBE) data for crystalline TbHfSc3 at its relaxed geometry, as listed in the Alexandria database.

Lattice parameters (Å, degrees): 5.1676 3.2404 14.8479 90.00 90.00 90.00
Closest atoms and distances in Å follow each position.
Atoms (fractional coordinates):
Tb 0.2500 0.0000 0.1457  6 Sc 3.11-3.29, 2 Tb 3.24
Tb 0.7500 0.0000 0.8543  6 Sc 3.11-3.29, 2 Tb 3.24
Hf 0.2500 0.5000 0.3576  10 Sc 3.24-3.37, 2 Hf 3.24, 2 Tb 3.54
Hf 0.7500 0.5000 0.6424  10 Sc 3.24-3.37, 2 Hf 3.24, 2 Tb 3.54
Sc 0.2500 0.0000 0.5466  3 Sc 2.84-2.93
Sc 0.2500 0.0000 0.7381  1 Sc 2.84, 2 Tb 3.11
Sc 0.2500 0.5000 0.9378  6 Sc 3.18-3.38, 6 Tb 3.29-3.49
Sc 0.7500 0.0000 0.2619  1 Sc 2.84, 2 Tb 3.11
Sc 0.7500 0.0000 0.4534  3 Sc 2.84-2.93
Sc 0.7500 0.5000 0.0622  6 Sc 3.18-3.38, 6 Tb 3.29-3.49

Formation energy: 81 meV per atom
Final energy: -6.634 eV per atom
Space-group type: No. 51

***

No. 4
First-principles (PBE) data for crystalline Tb14HfSc at its relaxed geometry, as listed in the Alexandria database.

Lattice parameters (Å, degrees): 7.0293 7.0293 9.9113 90.00 90.00 90.00
Closest atoms and distances in Å follow each position.
Atoms (fractional coordinates):
Tb 0.0000 0.0000 0.0000  12 Tb 3.51-3.54
Tb 0.0000 0.5000 0.0000  12 Tb 3.51-3.57
Tb 0.0000 0.5000 0.5000  8 Tb 3.45, 2 Sc 3.51, 2 Hf 3.51
Tb 0.2464 0.2464 0.2580  1 Hf 3.43, 10 Tb 3.45-3.59, 1 Sc 3.48
Tb 0.2464 0.2464 0.7420  1 Hf 3.43, 10 Tb 3.45-3.59, 1 Sc 3.48
Tb 0.2464 0.7536 0.2580  1 Hf 3.43, 10 Tb 3.45-3.59, 1 Sc 3.48
Tb 0.2464 0.7536 0.7420  1 Hf 3.43, 10 Tb 3.45-3.59, 1 Sc 3.48
Tb 0.5000 0.0000 0.0000  12 Tb 3.51-3.57
Tb 0.5000 0.0000 0.5000  8 Tb 3.45, 2 Sc 3.51, 2 Hf 3.51
Tb 0.5000 0.5000 0.0000  12 Tb 3.51-3.59
Tb 0.7536 0.2464 0.2580  1 Hf 3.43, 10 Tb 3.45-3.59, 1 Sc 3.48
Tb 0.7536 0.2464 0.7420  1 Hf 3.43, 10 Tb 3.45-3.59, 1 Sc 3.48
Tb 0.7536 0.7536 0.2580  1 Hf 3.43, 10 Tb 3.45-3.59, 1 Sc 3.48
Tb 0.7536 0.7536 0.7420  1 Hf 3.43, 10 Tb 3.45-3.59, 1 Sc 3.48
Hf 0.0000 0.0000 0.5000  12 Tb 3.43-3.51
Sc 0.5000 0.5000 0.5000  12 Tb 3.48-3.51

Formation energy: 52 meV per atom
Final energy: -5.017 eV per atom
Space-group type: No. 123

***

- The highest formation energy belongs to which entry?
  TbHfSc3